The following is a DFT calculation (PBE) of a relaxed structure of CoTeIr2.

a = 2.795 Å, b = 3.669 Å, c = 6.541 Å
α = 90.00°, β = 90.09°, γ = 90.00°
Space group Pm (No. 6)
Asymmetric unit:
Co (0.000, 0.000, 0.000) [1 per cell]
Te (0.999, 0.500, 0.291) [1 per cell]
Ir (0.500, 0.500, 0.815) [1 per cell]
Ir (0.999, 0.000, 0.611) [1 per cell]

Electronic total energy: -6.6406 eV/atom
DOS(E_F): 5.12 states/eV/f.u.
Energy above the most stable polymorph in this dataset: 0.02 eV/f.u.


The following is a DFT calculation (PBE) of a relaxed structure of CoTeIr2.

a = 4.035 Å, b = 4.035 Å, c = 7.606 Å
α = 90.00°, β = 90.00°, γ = 90.00°
Space group I4/mmm (No. 139)
Asymmetric unit:
Co (0.000, 0.000, 0.000) [2 per cell]
Te (0.000, 0.000, 0.500) [2 per cell]
Ir (0.000, 0.500, 0.250) [4 per cell]

Electronic total energy: -6.6462 eV/atom
DOS(E_F): 3.20 states/eV/f.u.
Energy above the most stable polymorph in this dataset: 0.00 eV/f.u.


The following is a DFT calculation (PBE) of a relaxed structure of Co2TeIr.

a = 2.9642 Å, b = 2.9642 Å, c = 23.9394 Å
α = 90.00°, β = 90.00°, γ = 120.00°
Space group R-3m (No. 166, hexagonal axes)
Asymmetric unit:
Co (0.0000, 0.0000, 0.2489) [6 per cell]
Te (0.0000, 0.0000, 0.0000) [3 per cell]
Ir (0.0000, 0.0000, 0.5000) [3 per cell]

Electronic total energy: -6.0174 eV/atom
DOS(E_F): 5.29 states/eV/f.u.


The following is a DFT calculation (PBE) of a relaxed structure of CoTeIr2.

a = 8.896 Å, b = 2.977 Å, c = 4.803 Å
α = 90.00°, β = 100.25°, γ = 90.00°
Space group C2/m (No. 12)
Asymmetric unit:
Co (0.000, 0.000, 0.000) [2 per cell]
Te (0.000, 0.500, 0.500) [2 per cell]
Ir (0.243, 0.500, 0.230) [4 per cell]

Electronic total energy: -6.6404 eV/atom
DOS(E_F): 4.27 states/eV/f.u.
Energy above the most stable polymorph in this dataset: 0.02 eV/f.u.


The following is a DFT calculation (PBE) of a relaxed structure of Co3Te8Ir.

a = 6.760 Å, b = 6.774 Å, c = 7.676 Å
α = 106.31°, β = 106.56°, γ = 110.96°
Space group P-1 (No. 2)
Asymmetric unit:
Co (0.000, 0.000, 0.000) [1 per cell]
Co (0.000, 0.000, 0.500) [1 per cell]
Co (0.500, 0.500, 0.000) [1 per cell]
Te (0.206, 0.448, 0.672) [2 per cell]
Te (0.207, 0.447, 0.155) [2 per cell]
Te (0.278, 0.035, 0.328) [2 per cell]
Te (0.284, 0.051, 0.834) [2 per cell]
Ir (0.500, 0.500, 0.500) [1 per cell]

Electronic total energy: -4.8148 eV/atom
DOS(E_F): 6.51 states/eV/f.u.


The following is a DFT calculation (PBE) of a relaxed structure of Co4TeIr.

a = 6.871 Å, b = 6.871 Å, c = 6.871 Å
α = 90.00°, β = 90.00°, γ = 90.00°
Space group F-43m (No. 216)
Asymmetric unit:
Co (0.124, 0.124, 0.124) [16 per cell]
Te (0.000, 0.000, 0.500) [4 per cell]
Ir (0.250, 0.250, 0.750) [4 per cell]

Electronic total energy: -6.3660 eV/atom
DOS(E_F): 9.91 states/eV/f.u.


The following is a DFT calculation (PBE) of a relaxed structure of CoTeIr4.

a = 7.405 Å, b = 7.405 Å, c = 7.405 Å
α = 90.00°, β = 90.00°, γ = 90.00°
Space group F-43m (No. 216)
Asymmetric unit:
Co (0.000, 0.000, 0.000) [4 per cell]
Te (0.250, 0.250, 0.750) [4 per cell]
Ir (0.126, 0.126, 0.374) [16 per cell]

Electronic total energy: -6.9279 eV/atom
DOS(E_F): 10.38 states/eV/f.u.


The following is a DFT calculation (PBE) of a relaxed structure of Co2TeIr.

a = 5.396 Å, b = 7.159 Å, c = 2.967 Å
α = 90.00°, β = 90.00°, γ = 90.00°
Space group Cmmm (No. 65)
Asymmetric unit:
Co (0.250, 0.250, 0.000) [4 per cell]
Te (0.000, 0.000, 0.500) [2 per cell]
Ir (0.000, 0.500, 0.500) [2 per cell]

Electronic total energy: -6.1936 eV/atom
DOS(E_F): 4.86 states/eV/f.u.


The following is a DFT calculation (PBE) of a relaxed structure of CoTeIr2.

a = 2.9572 Å, b = 2.9572 Å, c = 25.1938 Å
α = 90.00°, β = 90.00°, γ = 120.00°
Space group R3m (No. 160, hexagonal axes)
Asymmetric unit:
Co (0.0000, 0.0000, 0.0000) [3 per cell]
Te (0.0000, 0.0000, 0.2528) [3 per cell]
Ir (0.0000, 0.0000, 0.4960) [3 per cell]
Ir (0.0000, 0.0000, 0.7440) [3 per cell]

Electronic total energy: -6.4246 eV/atom
DOS(E_F): 5.34 states/eV/f.u.
Energy above the most stable polymorph in this dataset: 0.89 eV/f.u.


The following is a DFT calculation (PBE) of a relaxed structure of CoTeIr2.

a = 3.950 Å, b = 3.950 Å, c = 3.883 Å
α = 90.00°, β = 90.00°, γ = 90.00°
Space group P4/mmm (No. 123)
Asymmetric unit:
Co (0.000, 0.000, 0.000) [1 per cell]
Te (0.500, 0.500, 0.000) [1 per cell]
Ir (0.000, 0.500, 0.500) [2 per cell]

Electronic total energy: -6.6367 eV/atom
DOS(E_F): 3.46 states/eV/f.u.
Energy above the most stable polymorph in this dataset: 0.04 eV/f.u.


The following is a DFT calculation (PBE) of a relaxed structure of CoTeIr2.

a = 3.026 Å, b = 3.026 Å, c = 6.960 Å
α = 90.00°, β = 90.00°, γ = 90.00°
Space group P4/mmm (No. 123)
Asymmetric unit:
Co (0.000, 0.000, 0.000) [1 per cell]
Te (0.000, 0.000, 0.500) [1 per cell]
Ir (0.500, 0.500, 0.215) [2 per cell]

Electronic total energy: -6.5370 eV/atom
DOS(E_F): 5.31 states/eV/f.u.
Energy above the most stable polymorph in this dataset: 0.44 eV/f.u.


The following is a DFT calculation (PBE) of a relaxed structure of Co2TeIr.

a = 2.952 Å, b = 2.952 Å, c = 6.839 Å
α = 90.00°, β = 90.00°, γ = 90.00°
Space group P4/mmm (No. 123)
Asymmetric unit:
Co (0.000, 0.000, 0.231) [2 per cell]
Te (0.500, 0.500, 0.500) [1 per cell]
Ir (0.500, 0.500, 0.000) [1 per cell]

Electronic total energy: -6.1001 eV/atom
DOS(E_F): 5.89 states/eV/f.u.